Entry 1:
A plane-wave DFT calculation with PBE was carried out for a geometry-optimized Na4AgIr3S8 structure.

Calculated values
* volume: 301 Å³/cell
* energy relative to the elements, uncorrected: -0.57 eV per atom
* SG: R-3m

Structure (POSCAR):
```
Na4AgIr3S8
1.0
-3.7572 -5.2479 -3.6916
6.1784 -4.4437 0.0289
-2.6257 2.6108 6.4489
Na Ag Ir S
4 1 3 8
Cartesian
-1.8786 -2.6239 -1.8458
-3.1915 -1.3186 1.3787
0.0000 0.0000 0.0000
-1.3129 1.3054 3.2244
3.0892 -2.2219 0.0144
1.2106 -4.8458 -1.8314
-0.1022 -3.5404 1.3931
1.7764 -0.9165 3.2389
0.8756 -1.8714 5.2545
2.0974 -3.0872 2.2541
-0.4951 -1.4157 2.5165
-0.8732 -4.3141 3.5362
0.6687 -2.7668 -0.7500
0.2906 -5.6651 0.2697
-2.3018 -3.9936 0.5321
-1.0801 -5.2094 -2.4683
```

=====

Entry 2:
A plane-wave DFT calculation with PBE was carried out for a geometry-optimized Rb2CaSbI6 structure.

Calculated values
* volume: 503 Å³/cell
* energy relative to the elements, uncorrected: -1.02 eV per atom
* SG: I4/mmm

Structure (POSCAR):
```
Rb2CaSbI6
1.0
-1.7080 -6.8694 -5.0019
1.4014 -5.2598 6.7451
-6.6337 -5.6622 2.5318
I Sb Ca Rb
6 1 1 2
Cartesian
-3.1173 -5.8805 1.6309
-3.8231 -11.9108 2.6441
-0.0751 -2.9712 0.4270
-0.2315 -9.1580 1.3162
-0.9463 -6.4751 -2.1243
0.6397 -5.6541 3.8675
0.0000 0.0000 0.0000
-0.1533 -6.0646 0.8716
-4.2475 -9.2981 -0.7992
-2.6928 -8.4933 5.0742
```

=====

Entry 3:
A plane-wave DFT calculation with PBE was carried out for a geometry-optimized CeAgSnPd structure.

Calculated values
* volume: 86 Å³/cell
* E_tot: -5.029 eV/atom
* SG: F-43m

Structure (POSCAR):
```
CeAgSnPd
1.0
-3.4429 -1.1166 3.3858
1.3481 -1.9259 4.3632
-0.3846 2.7117 4.1307
Ag Pd Sn Ce
1 1 1 1
Cartesian
-1.2397 -0.1654 5.9398
0.0000 0.0000 0.0000
-0.6199 -0.0827 2.9699
-1.8596 -0.2481 8.9098
```

=====

Entry 4:
A plane-wave DFT calculation with PBE was carried out for a geometry-optimized MnPd7Se2 structure.

Calculated values
* volume: 169 Å³/cell
* energy relative to the elements, uncorrected: -0.18 eV per atom
* SG: I4/mmm

Structure (POSCAR):
```
MnPd7Se2
1.0
-2.1431 -2.1932 -2.6094
3.3218 -2.0351 -1.0177
-2.5639 -4.8443 9.2838
Mn Pd Se
1 7 2
Cartesian
0.0000 0.0000 0.0000
1.2952 -2.3064 0.8748
0.0521 -6.6872 5.5778
-1.4373 -2.3855 0.0790
0.5894 -2.1142 -1.8135
-2.0588 -4.5758 2.4304
-2.6803 -6.7662 4.7819
0.6737 -4.4968 3.2263
-0.0766 -4.4611 0.7060
-1.3086 -4.6115 4.9507
```

=====

Entry 5:
A plane-wave DFT calculation with PBE was carried out for a geometry-optimized La3Zn2Ag structure.

Calculated values
* volume: 162 Å³/cell
* E_tot: -3.662 eV/atom
* SG: P4/mmm

Structure (POSCAR):
```
La3Zn2Ag
1.0
3.8065 0.0000 0.0000
0.0000 3.8065 0.0000
0.0000 0.0000 11.2052
La Zn Ag
3 2 1
Cartesian
0.0000 0.0000 0.0000
0.0000 0.0000 7.5585
0.0000 0.0000 3.6468
1.9032 1.9032 9.4061
1.9032 1.9032 1.7992
1.9032 1.9032 5.6026
```

=====

Entry 6:
A plane-wave DFT calculation with PBE was carried out for a geometry-optimized ReOs2Se structure.

Calculated values
* volume: 63 Å³/cell
* energy relative to the elements, uncorrected: 0.79 eV per atom
* SG: Cmmm

Structure (POSCAR):
```
ReOs2Se
1.0
2.7529 0.0078 0.0000
-1.3209 2.4153 0.0000
0.0000 0.0000 9.4633
Os Re Se
2 1 1
Cartesian
0.0000 0.0000 0.1307
0.0000 0.0000 4.6010
0.7160 1.2115 2.3658
0.7160 1.2115 7.0975
```

=====

Entry 7:
A plane-wave DFT calculation with PBE was carried out for a geometry-optimized Pm5Cd2Hg structure.

Calculated values
* volume: 478 Å³/cell
* E_tot: -3.478 eV/atom
* SG: Pbam

Structure (POSCAR):
```
Pm5Cd2Hg
1.0
5.3772 0.0000 0.0000
0.0000 6.7609 0.0000
0.0000 0.0000 13.1531
Pm Cd Hg
10 4 2
Cartesian
2.6886 2.3330 1.4771
2.6886 4.4279 11.6760
2.6886 5.7134 5.0994
2.6886 1.0474 8.0537
0.0000 5.7618 9.5258
0.0000 0.9991 3.6272
0.0000 2.3813 10.2038
0.0000 4.3795 2.9493
0.0000 3.3804 6.5765
0.0000 0.0000 0.0000
2.6886 2.5094 4.7913
2.6886 4.2515 8.3618
2.6886 0.8710 11.3678
2.6886 5.8898 1.7852
0.0000 0.0000 6.5765
0.0000 3.3804 0.0000
```

=====

Entry 8:
A plane-wave DFT calculation with PBE was carried out for a geometry-optimized NaScSn2Pt structure.

Calculated values
* volume: 126 Å³/cell
* E_tot: -3.433 eV/atom
* SG: P4/mmm

Structure (POSCAR):
```
NaScSn2Pt
1.0
-5.0202 0.7444 0.4126
-0.6889 -2.3183 -4.1999
-0.4478 -4.4091 2.5072
Sc Na Sn Pt
1 1 2 1
Cartesian
-0.3445 -1.1591 -2.0999
0.0000 0.0000 0.0000
-0.2239 -2.2045 1.2536
-2.5101 0.3722 0.2063
-3.0784 -2.9915 -0.6400
```

=====

Entry 9:
A plane-wave DFT calculation with PBE was carried out for a geometry-optimized UMnPb2S6 structure.

Calculated values
* volume: 244 Å³/cell
* energy relative to the elements, uncorrected: -0.76 eV per atom
* SG: R3

Structure (POSCAR):
```
UMnPb2S6
1.0
-5.9621 -3.3735 -1.2788
6.0811 -2.8357 -1.8820
2.3239 0.5712 6.6463
U Mn Pb S
1 1 2 6
Cartesian
2.3976 -5.5876 3.2770
-1.8010 -4.4828 0.9479
2.1570 -3.9093 -0.0288
0.2830 -2.2373 4.2976
3.7879 -3.5638 2.4587
-1.4625 -1.9858 0.4398
-0.3965 -4.9637 -1.1499
2.1154 -1.0119 0.6734
0.3121 -4.4309 2.2717
2.6723 -0.4558 4.1176
```

=====

Entry 10:
A plane-wave DFT calculation with PBE was carried out for a geometry-optimized KThS3 structure.

Calculated values
* volume: 689 Å³/cell
* energy relative to the elements, uncorrected: -1.31 eV per atom
* SG: Fd-3m

Structure (POSCAR):
```
KThS3
1.0
-9.7140 -0.5405 -1.8988
-3.1503 -2.0786 -9.1659
-4.1922 -8.7727 -1.9297
K Th S
4 4 12
Cartesian
-3.7072 -2.4633 -6.2072
-2.1321 -1.4240 -1.6243
-4.2282 -5.8103 -2.5892
-6.9890 -1.6942 -2.5737
-9.0852 -6.0806 -3.5386
-10.6603 -7.1198 -8.1215
-8.5642 -2.7335 -7.1566
-5.8033 -6.8496 -7.1721
-10.8197 -7.2372 -5.3601
-6.2367 -4.1546 -7.6343
-9.0335 -3.4992 -4.5378
-8.0230 -7.8925 -8.4566
-10.3758 -4.3849 -8.4434
-6.6807 -7.0069 -4.5510
-10.5009 -7.0025 -10.8829
-15.0839 -10.0851 -8.6087
-12.2871 -10.7405 -11.7052
-13.2976 -6.3472 -7.7864
-10.9448 -9.8548 -7.7996
-14.6399 -7.2328 -11.6920
```

=====

Entry 11:
A plane-wave DFT calculation with PBE was carried out for a geometry-optimized SrSnOs3 structure.

Calculated values
* volume: 120 Å³/cell
* E_tot: -4.546 eV/atom
* SG: Pm-3m

Structure (POSCAR):
```
SrSnOs3
1.0
-3.6148 0.6430 -3.2956
-3.1608 -2.2859 3.0209
-1.1333 4.3247 2.0868
Sr Os Sn
1 3 1
Cartesian
0.0000 0.0000 0.0000
-1.5804 -1.1430 1.5104
-0.5666 2.1623 1.0434
-1.8074 0.3215 -1.6478
-3.9544 1.3409 0.9060
```

=====

Entry 12:
A plane-wave DFT calculation with PBE was carried out for a geometry-optimized AcCeCl2F6 structure.

Calculated values
* volume: 203 Å³/cell
* energy relative to the elements, uncorrected: -3.13 eV per atom
* SG: Fm-3m

Structure (POSCAR):
```
AcCeCl2F6
1.0
-1.5334 5.9332 -2.4375
-6.4040 -1.2685 0.9374
-3.7028 4.1591 3.5321
Ac Ce Cl F
1 1 2 6
Cartesian
-3.9687 2.3324 -0.7500
0.0000 0.0000 0.0000
-7.0378 2.6115 1.8597
-4.6024 6.2124 0.1723
-8.9607 4.5853 3.6753
-6.0704 3.5676 -1.1472
-3.8280 3.2993 1.5165
-2.6795 4.2385 -1.6433
-5.5698 5.2563 3.1792
-7.8122 5.5245 0.5155
```

=====

Entry 13:
A plane-wave DFT calculation with PBE was carried out for a geometry-optimized ReP3 structure.

Calculated values
* volume: 56 Å³/cell
* E_tot: -7.038 eV/atom
* SG: R-3m

Structure (POSCAR):
```
ReP3
1.0
-0.2648 -4.4487 5.1692
-0.4391 -6.2787 2.6394
2.3427 -5.2694 3.6504
P Re
3 1
Cartesian
1.2357 -12.0621 8.6404
0.8194 -7.9984 5.7295
0.4031 -3.9347 2.8185
0.0000 0.0000 0.0000
```

=====

Entry 14:
A plane-wave DFT calculation with PBE was carried out for a geometry-optimized Se2Br structure.

Calculated values
* volume: 85 Å³/cell
* energy relative to the elements, uncorrected: 0.28 eV per atom
* SG: I4/mmm

Structure (POSCAR):
```
Se2Br
1.0
-5.2489 -5.3901 -0.9727
-1.2245 -6.6732 -3.3940
4.0581 4.8748 4.1615
Br Se
1 2
Cartesian
0.0000 0.0000 0.0000
-1.8356 -3.4207 -1.2382
-4.6378 -8.6426 -3.1284
```

=====

Entry 15:
A plane-wave DFT calculation with PBE was carried out for a geometry-optimized Li8PN2 structure.

Calculated values
* volume: 122 Å³/cell
* energy relative to the elements, uncorrected: -0.41 eV per atom
* SG: C2/m

Structure (POSCAR):
```
Li8PN2
1.0
-0.9815 0.9650 -3.5857
-2.7335 -5.2345 -0.1148
-3.2564 4.2050 2.5688
Li P N
8 1 2
Cartesian
-5.7166 -1.2938 -1.7847
-5.8684 1.4454 -1.0059
-3.9196 -0.3774 0.5638
-3.3623 -2.2608 -1.1995
-3.6092 2.1964 0.0677
-3.0518 0.3130 -1.6955
-1.1031 -1.5099 -0.1258
-1.2548 1.2294 0.6529
-0.4908 0.4825 -1.7928
-3.0866 1.1398 1.6974
-2.9033 -2.1692 0.7566
```

=====

Entry 16:
A plane-wave DFT calculation with PBE was carried out for a geometry-optimized P2PdO2 structure.

Calculated values
* volume: 62 Å³/cell
* energy relative to the elements, uncorrected: 0.55 eV per atom
* SG: P4/mmm

Structure (POSCAR):
```
P2PdO2
1.0
-2.4258 -2.8851 1.2077
2.0221 -2.6127 -2.1799
2.3915 -0.7206 3.0820
P O Pd
2 2 1
Cartesian
1.0110 -1.3063 -1.0900
-1.2129 -1.4426 0.6039
0.0000 0.0000 0.0000
1.1958 -0.3603 1.5410
0.9939 -3.1092 1.0549
```

=====

Entry 17:
A plane-wave DFT calculation with PBE was carried out for a geometry-optimized Cs2CaTcCl6 structure.

Calculated values
* volume: 283 Å³/cell
* energy relative to the elements, uncorrected: -1.55 eV per atom
* SG: Fm-3m

Structure (POSCAR):
```
Cs2CaTcCl6
1.0
-5.7668 1.0909 4.4613
-0.2858 -7.2326 1.3990
0.2150 -2.4193 6.9606
Cs Ca Tc Cl
2 1 1 6
Cartesian
-4.2891 -2.1996 7.1761
-1.5486 -6.3614 5.6449
-3.0263 -3.0709 2.9302
0.0000 0.0000 0.0000
-1.3228 -2.7284 5.0484
-4.5148 -5.8326 7.7726
-1.4358 -1.4570 1.3902
-4.6168 -4.6847 4.4701
-4.4666 -0.8837 3.7349
-1.5861 -5.2580 2.1255
```

=====

Entry 18:
A plane-wave DFT calculation with PBE was carried out for a geometry-optimized CdSb2H2 structure.

Calculated values
* volume: 231 Å³/cell
* E_tot: -2.884 eV/atom
* SG: P4/mbm

Structure (POSCAR):
```
CdSb2H2
1.0
-7.2743 -1.8476 0.8224
2.0116 -6.9260 2.2336
0.1116 1.2728 3.8462
Sb H Cd
4 4 2
Cartesian
-0.9218 -6.6766 2.2361
-5.0267 -5.9897 2.1279
-4.3409 -2.0970 0.8198
-0.2360 -2.7839 0.9281
-0.8907 -6.0814 4.1736
-5.0146 -5.3294 4.0444
-4.2604 -1.4194 2.7286
-0.1365 -2.1714 2.8578
0.0000 0.0000 0.0000
-2.6313 -4.3868 1.5280
```

=====

Entry 19:
A plane-wave DFT calculation with PBE was carried out for a geometry-optimized SmUIn2O8 structure.

Calculated values
* volume: 176 Å³/cell
* energy relative to the elements, uncorrected: -2.31 eV per atom
* SG: P2/m

Structure (POSCAR):
```
SmUIn2O8
1.0
-4.5840 1.1666 -1.6746
-1.9266 -1.1237 4.4971
0.9329 6.6095 2.0511
Sm U In O
1 1 2 8
Cartesian
0.4665 3.3048 1.0255
0.0000 0.0000 0.0000
-2.5506 5.0113 2.9595
-3.0270 1.6412 1.9141
-2.2174 0.7960 3.7828
-3.6197 6.6377 4.0304
-3.8743 2.2158 -0.0388
-3.3603 5.8565 1.0908
-1.9580 0.0148 0.8433
-1.7034 4.4367 4.9125
-3.9548 3.3323 2.9491
-1.6228 3.3202 1.9246
```

=====

Entry 20:
A plane-wave DFT calculation with PBE was carried out for a geometry-optimized Lu2AlRh structure.

Calculated values
* volume: 82 Å³/cell
* E_tot: -5.668 eV/atom
* SG: Fm-3m

Structure (POSCAR):
```
Lu2AlRh
1.0
4.8845 0.0000 0.0000
2.4423 4.2301 0.0000
2.4423 1.4100 3.9882
Lu Rh Al
2 1 1
Cartesian
2.4423 1.4100 0.9970
7.3268 4.2301 2.9911
4.8845 2.8201 1.9941
0.0000 0.0000 0.0000
```

=====

Entry 21:
A plane-wave DFT calculation with PBE was carried out for a geometry-optimized LiNd2Al2Pd5 structure.

Calculated values
* volume: 370 Å³/cell
* E_tot: -5.153 eV/atom
* SG: P4/mbm

Structure (POSCAR):
```
LiNd2Al2Pd5
1.0
3.3189 0.0000 0.0000
0.0000 10.5591 0.0000
0.0000 0.0000 10.5591
Li Nd Al Pd
2 4 4 10
Cartesian
0.0000 0.0000 0.0000
0.0000 5.2795 5.2795
0.0000 7.1253 1.8457
0.0000 3.4338 8.7133
0.0000 1.8457 3.4338
0.0000 8.7133 7.1253
0.0000 1.3419 6.6215
0.0000 9.2172 3.9376
0.0000 6.6215 9.2172
0.0000 3.9376 1.3419
1.6595 2.1296 0.6320
1.6595 8.4295 9.9271
1.6595 0.6320 8.4295
1.6595 7.4091 4.6476
1.6595 9.9271 2.1296
1.6595 3.1499 5.9115
1.6595 5.9115 7.4091
1.6595 4.6476 3.1499
1.6595 5.2795 0.0000
1.6595 0.0000 5.2795
```

=====

Entry 22:
A plane-wave DFT calculation with PBE was carried out for a geometry-optimized Pr4SnC structure.

Calculated values
* volume: 394 Å³/cell
* E_tot: -5.544 eV/atom
* SG: Cmcm

Structure (POSCAR):
```
Pr4SnC
1.0
6.3000 -0.7300 0.0000
-4.1540 6.6977 0.0000
0.0000 0.0000 10.0595
Pr Sn C
8 2 2
Cartesian
0.7756 4.3735 7.5446
1.3704 1.5943 2.5149
2.0389 0.5184 7.5446
0.1071 5.4493 2.5149
3.1967 4.2708 0.4877
-1.0507 1.6970 5.5174
3.1967 4.2708 4.5421
-1.0507 1.6970 9.5718
-2.4234 3.9076 7.5446
4.5693 2.0602 2.5149
-0.3608 0.5834 7.5446
2.5068 5.3844 2.5149
```

=====

Entry 23:
A plane-wave DFT calculation with PBE was carried out for a geometry-optimized SrCaSi4 structure.

Calculated values
* volume: 135 Å³/cell
* energy relative to the elements, uncorrected: -0.36 eV per atom
* SG: P-3m1

Structure (POSCAR):
```
SrCaSi4
1.0
3.9444 0.0000 0.0000
-1.9722 3.4160 0.0000
0.0000 0.0000 10.0331
Sr Ca Si
1 1 4
Cartesian
0.0000 0.0000 5.0165
0.0000 0.0000 0.0000
1.9722 1.1387 7.2053
1.9722 1.1387 2.0142
0.0000 2.2773 8.0189
0.0000 2.2773 2.8278
```